No. 1
Density functional theory data (GGA-PBE) for a relaxed LiCe2Ge4Au3 crystal.

DOS at the Fermi energy: 13.3 states/eV per cell
E_form: -0.53 eV/atom
electronic total energy: -4.741 eV/atom
mass density: 9.43 g/cm³
crystal system: tetragonal
V: 205.7 Å³ per cell

```
LiCe2Ge4Au3
1.0
4.278 0.000 0.000
0.000 4.278 0.000
0.000 0.000 11.242
Au Ge Ce Li
3 4 2 1
Direct
0.000 0.500 0.142 Au
0.000 0.000 0.500 Au
0.500 0.000 0.858 Au
0.500 0.500 0.000 Ge
0.500 0.000 0.634 Ge
0.000 0.000 0.000 Ge
0.000 0.500 0.366 Ge
0.000 0.500 0.738 Ce
0.500 0.000 0.262 Ce
0.500 0.500 0.500 Li
```

No. 2
Density functional theory data (GGA-PBE) for a relaxed LiCeGe2Au4 crystal.

DOS at the Fermi energy: 7.1 states/eV per cell
E_form: -0.43 eV/atom
electronic total energy: -4.200 eV/atom
mass density: 11.69 g/cm³
crystal system: trigonal
V: 153.5 Å³ per cell

```
LiCeGe2Au4
1.0
4.577 0.000 0.000
2.288 3.964 0.000
2.288 1.321 8.461
Au Li Ge Ce
4 1 2 1
Direct
0.138 0.138 0.586 Au
0.604 0.604 0.188 Au
0.862 0.862 0.414 Au
0.396 0.396 0.812 Au
0.500 0.500 0.500 Li
0.246 0.246 0.261 Ge
0.754 0.754 0.739 Ge
0.000 0.000 0.000 Ce
```

No. 3
Density functional theory data (GGA-PBE) for a relaxed Li2CeGeAu4 crystal.

DOS at the Fermi energy: 7.2 states/eV per cell
E_form: -0.47 eV/atom
electronic total energy: -3.907 eV/atom
mass density: 10.85 g/cm³
crystal system: trigonal
V: 155.2 Å³ per cell

```
Li2CeGeAu4
1.0
-3.421 -0.073 2.928
-4.100 -1.273 -1.359
-0.582 -8.827 2.564
Au Ge Li Ce
4 1 2 1
Direct
0.396 0.396 0.811 Au
0.604 0.604 0.189 Au
0.124 0.124 0.627 Au
0.876 0.876 0.373 Au
0.500 0.500 0.500 Ge
0.234 0.234 0.299 Li
0.766 0.766 0.701 Li
0.000 0.000 0.000 Ce
```

No. 4
Density functional theory data (GGA-PBE) for a relaxed LiCe2Ge3Au4 crystal.

DOS at the Fermi energy: 15.0 states/eV per cell
E_form: -0.56 eV/atom
electronic total energy: -4.633 eV/atom
mass density: 10.42 g/cm³
crystal system: tetragonal
V: 206.0 Å³ per cell

```
LiCe2Ge3Au4
1.0
-2.729 -3.031 -1.595
3.315 -1.824 -2.206
2.115 -6.331 8.411
Au Ge Li Ce
4 3 1 2
Direct
0.500 0.000 0.626 Au
0.000 0.500 0.374 Au
0.000 0.000 0.000 Au
0.500 0.500 0.000 Au
0.000 0.000 0.500 Ge
0.500 0.000 0.859 Ge
0.000 0.500 0.141 Ge
0.500 0.500 0.500 Li
0.000 0.500 0.759 Ce
0.500 0.000 0.241 Ce
```

No. 5
Density functional theory data (GGA-PBE) for a relaxed CeMgGe2Au4 crystal.

DOS at the Fermi energy: 5.9 states/eV per cell
E_form: -0.41 eV/atom
electronic total energy: -4.140 eV/atom
mass density: 11.46 g/cm³
crystal system: trigonal
V: 159.0 Å³ per cell

```
CeMgGe2Au4
1.0
4.670 0.000 0.000
2.335 4.044 0.000
2.335 1.348 8.420
Au Ge Ce Mg
4 2 1 1
Direct
0.861 0.861 0.417 Au
0.607 0.607 0.178 Au
0.139 0.139 0.583 Au
0.393 0.393 0.822 Au
0.253 0.253 0.240 Ge
0.747 0.747 0.760 Ge
0.000 0.000 0.000 Ce
0.500 0.500 0.500 Mg
```

No. 6
Density functional theory data (GGA-PBE) for a relaxed Ce2Ni3Ge4Au crystal.

DOS at the Fermi energy: 9.2 states/eV per cell
E_form: -0.65 eV/atom
electronic total energy: -5.747 eV/atom
mass density: 8.97 g/cm³
crystal system: tetragonal
V: 174.7 Å³ per cell

```
Ce2Ni3Ge4Au
1.0
-0.665 2.143 -3.565
2.598 -2.606 -2.051
-7.591 -5.895 -2.128
Ce Ni Ge Au
2 3 4 1
Direct
0.000 0.500 0.758 Ce
0.500 0.000 0.242 Ce
0.000 0.000 0.500 Ni
0.000 0.500 0.117 Ni
0.500 0.000 0.883 Ni
0.000 0.500 0.353 Ge
0.500 0.500 0.000 Ge
0.500 0.000 0.647 Ge
0.000 0.000 0.000 Ge
0.500 0.500 0.500 Au
```

No. 7
Density functional theory data (GGA-PBE) for a relaxed Ce3Ni2Ge9Au crystal.

DOS at the Fermi energy: 14.9 states/eV per cell
E_form: -0.29 eV/atom
electronic total energy: -5.237 eV/atom
mass density: 6.86 g/cm³
crystal system: trigonal
V: 335.9 Å³ per cell

```
Ce3Ni2Ge9Au
1.0
-5.350 2.770 -0.674
0.725 -5.702 -1.926
-3.044 -3.579 9.451
Ge Ce Au Ni
9 3 1 2
Direct
0.714 0.857 0.290 Ge
0.143 0.286 0.290 Ge
0.857 0.714 0.710 Ge
0.286 0.143 0.710 Ge
0.143 0.857 0.290 Ge
0.000 0.500 0.000 Ge
0.857 0.143 0.710 Ge
0.500 0.000 0.000 Ge
0.500 0.500 0.000 Ge
0.000 0.000 0.000 Ce
0.333 0.667 0.764 Ce
0.667 0.333 0.236 Ce
0.000 0.000 0.500 Au
0.333 0.667 0.173 Ni
0.667 0.333 0.827 Ni
```

No. 8
Density functional theory data (GGA-PBE) for a relaxed CePaGeAu crystal.

DOS at the Fermi energy: 12.8 states/eV per cell
E_form: -0.34 eV/atom
electronic total energy: -6.171 eV/atom
mass density: 11.07 g/cm³
crystal system: cubic
V: 96.1 Å³ per cell

```
CePaGeAu
1.0
5.141 0.000 0.000
2.571 4.452 0.000
2.571 1.484 4.198
Pa Au Ce Ge
1 1 1 1
Direct
0.000 0.000 0.000 Pa
0.750 0.750 0.750 Au
0.500 0.500 0.500 Ce
0.250 0.250 0.250 Ge
```

No. 9
Density functional theory data (GGA-PBE) for a relaxed CeGePbAu crystal.

DOS at the Fermi energy: 6.5 states/eV per cell
E_form: -0.36 eV/atom
electronic total energy: -4.745 eV/atom
mass density: 10.56 g/cm³
crystal system: cubic
V: 97.0 Å³ per cell

```
CeGePbAu
1.0
-4.196 -1.278 2.714
0.443 -2.994 4.177
-0.741 2.000 4.697
Ce Pb Ge Au
1 1 1 1
Direct
0.500 0.500 0.500 Ce
0.000 0.000 0.000 Pb
0.250 0.250 0.250 Ge
0.750 0.750 0.750 Au
```

No. 10
Density functional theory data (GGA-PBE) for a relaxed Ce3Ge6Pd2Au crystal.

DOS at the Fermi energy: 15.5 states/eV per cell
E_form: -0.41 eV/atom
electronic total energy: -5.336 eV/atom
mass density: 8.27 g/cm³
crystal system: trigonal
V: 254.3 Å³ per cell

```
Ce3Ge6Pd2Au
1.0
-5.431 -1.743 -1.564
2.717 -2.553 4.592
-3.324 5.733 5.153
Ge Ce Pd Au
6 3 2 1
Direct
0.814 0.186 0.728 Ge
0.814 0.628 0.728 Ge
0.628 0.814 0.272 Ge
0.186 0.814 0.272 Ge
0.372 0.186 0.728 Ge
0.186 0.372 0.272 Ge
0.667 0.333 0.387 Ce
0.333 0.667 0.613 Ce
0.000 0.000 0.000 Ce
0.667 0.333 0.989 Pd
0.333 0.667 0.011 Pd
0.000 0.000 0.500 Au
```

No. 11
Density functional theory data (GGA-PBE) for a relaxed CeGe2Pd5Au crystal.

DOS at the Fermi energy: 8.0 states/eV per cell
E_form: -0.44 eV/atom
electronic total energy: -5.378 eV/atom
mass density: 10.44 g/cm³
crystal system: tetragonal
V: 161.4 Å³ per cell

```
CeGe2Pd5Au
1.0
4.212 0.000 0.000
0.000 4.212 0.000
0.000 0.000 9.096
Pd Ge Au Ce
5 2 1 1
Direct
0.000 0.500 0.271 Pd
0.500 0.500 0.500 Pd
0.500 0.000 0.729 Pd
0.500 0.000 0.271 Pd
0.000 0.500 0.729 Pd
0.500 0.500 0.870 Ge
0.500 0.500 0.130 Ge
0.000 0.000 0.000 Au
0.000 0.000 0.500 Ce
```

No. 12
Density functional theory data (GGA-PBE) for a relaxed CeGePdAu crystal.

DOS at the Fermi energy: 3.5 states/eV per cell
E_form: -0.55 eV/atom
electronic total energy: -5.308 eV/atom
mass density: 10.56 g/cm³
crystal system: cubic
V: 81.1 Å³ per cell

```
CeGePdAu
1.0
-4.430 -0.750 1.851
-3.299 -2.511 -2.534
-1.306 -4.450 1.450
Ge Au Ce Pd
1 1 1 1
Direct
0.250 0.250 0.250 Ge
0.500 0.500 0.500 Au
0.750 0.750 0.750 Ce
0.000 0.000 0.000 Pd
```

No. 13
Density functional theory data (GGA-PBE) for a relaxed Ce2Pm2Ge4Au crystal.

DOS at the Fermi energy: 11.2 states/eV per cell
E_form: -0.35 eV/atom
electronic total energy: -5.143 eV/atom
mass density: 7.74 g/cm³
crystal system: tetragonal
V: 226.8 Å³ per cell

```
Ce2Pm2Ge4Au
1.0
6.672 0.287 0.414
-2.951 5.991 -0.414
-2.951 -2.492 5.463
Au Ce Ge Pm
1 2 4 2
Direct
0.000 0.000 0.000 Au
0.000 0.654 0.654 Ce
0.000 0.346 0.346 Ce
0.491 0.245 0.245 Ge
0.509 0.755 0.755 Ge
0.000 0.245 0.755 Ge
0.000 0.755 0.245 Ge
0.500 0.750 0.250 Pm
0.500 0.250 0.750 Pm
```

No. 14
Density functional theory data (GGA-PBE) for a relaxed CePrGeAu crystal.

DOS at the Fermi energy: 9.0 states/eV per cell
E_form: -0.64 eV/atom
energy above the lowest structure with this stoichiometry: 78 meV/atom
electronic total energy: -5.293 eV/atom
mass density: 8.91 g/cm³
crystal system: cubic
V: 102.7 Å³ per cell

```
CePrGeAu
1.0
5.256 0.000 0.000
2.628 4.552 0.000
2.628 1.517 4.291
Ce Ge Au Pr
1 1 1 1
Direct
0.000 0.000 0.000 Ce
0.250 0.250 0.250 Ge
0.750 0.750 0.750 Au
0.500 0.500 0.500 Pr
```

No. 15
Density functional theory data (GGA-PBE) for a relaxed CePrGeAu crystal.

DOS at the Fermi energy: 7.3 states/eV per cell
E_form: -0.72 eV/atom
energy above the lowest structure with this stoichiometry: 0 meV/atom
electronic total energy: -5.371 eV/atom
mass density: 8.68 g/cm³
crystal system: orthorhombic
V: 105.3 Å³ per cell

```
CePrGeAu
1.0
4.208 0.000 0.000
0.000 4.440 0.000
-2.104 0.000 5.638
Pr Au Ce Ge
1 1 1 1
Direct
0.858 0.500 0.717 Pr
0.421 0.000 0.842 Au
0.137 0.000 0.273 Ce
0.584 0.500 0.168 Ge
```

No. 16
Density functional theory data (GGA-PBE) for a relaxed Ce2Ge4PtAu3 crystal.

DOS at the Fermi energy: 14.9 states/eV per cell
E_form: -0.57 eV/atom
electronic total energy: -5.192 eV/atom
mass density: 10.89 g/cm³
crystal system: tetragonal
V: 206.9 Å³ per cell

```
Ce2Ge4PtAu3
1.0
-4.446 -0.258 0.061
0.241 -3.519 2.720
-0.256 6.367 8.259
Ce Ge Au Pt
2 4 3 1
Direct
0.000 0.500 0.741 Ce
0.500 0.000 0.259 Ce
0.500 0.500 0.000 Ge
0.500 0.000 0.627 Ge
0.000 0.000 0.000 Ge
0.000 0.500 0.373 Ge
0.000 0.000 0.500 Au
0.500 0.000 0.866 Au
0.000 0.500 0.134 Au
0.500 0.500 0.500 Pt
```

No. 17
Density functional theory data (GGA-PBE) for a relaxed CeGe2Pt5Au crystal.

DOS at the Fermi energy: 5.5 states/eV per cell
E_form: -0.51 eV/atom
electronic total energy: -5.912 eV/atom
mass density: 14.83 g/cm³
crystal system: tetragonal
V: 163.2 Å³ per cell

```
CeGe2Pt5Au
1.0
4.195 0.000 0.000
0.000 4.195 0.000
0.000 0.000 9.274
Pt Ce Ge Au
5 1 2 1
Direct
0.500 0.000 0.272 Pt
0.500 0.500 0.500 Pt
0.500 0.000 0.728 Pt
0.000 0.500 0.728 Pt
0.000 0.500 0.272 Pt
0.000 0.000 0.500 Ce
0.500 0.500 0.872 Ge
0.500 0.500 0.128 Ge
0.000 0.000 0.000 Au
```

No. 18
Density functional theory data (GGA-PBE) for a relaxed CePuGeAu crystal.

DOS at the Fermi energy: 13.1 states/eV per cell
E_form: -0.51 eV/atom
energy above the lowest structure with this stoichiometry: 23 meV/atom
electronic total energy: -7.553 eV/atom
mass density: 11.19 g/cm³
crystal system: cubic
V: 97.1 Å³ per cell

```
CePuGeAu
1.0
5.158 0.000 0.000
2.579 4.467 0.000
2.579 1.489 4.212
Ge Pu Ce Au
1 1 1 1
Direct
0.000 0.000 0.000 Ge
0.250 0.250 0.250 Pu
0.750 0.750 0.750 Ce
0.500 0.500 0.500 Au
```

No. 19
Density functional theory data (GGA-PBE) for a relaxed Ce5PuGe2Au crystal.

DOS at the Fermi energy: 41.8 states/eV per cell
E_form: -0.39 eV/atom
electronic total energy: -6.672 eV/atom
mass density: 9.74 g/cm³
crystal system: tetragonal
V: 438.7 Å³ per cell

```
Ce5PuGe2Au
1.0
8.278 0.000 0.000
0.000 8.278 0.000
-4.139 -4.139 6.402
Pu Au Ce Ge
2 2 10 4
Direct
0.750 0.250 0.500 Pu
0.250 0.750 0.500 Pu
0.250 0.250 0.500 Au
0.750 0.750 0.500 Au
0.500 0.500 0.000 Ce
0.340 0.840 0.291 Ce
0.840 0.951 0.291 Ce
0.660 0.160 0.709 Ce
0.049 0.549 0.709 Ce
0.160 0.049 0.709 Ce
0.951 0.451 0.291 Ce
0.000 0.000 0.000 Ce
0.451 0.340 0.291 Ce
0.549 0.660 0.709 Ce
0.391 0.891 0.000 Ge
0.609 0.109 0.000 Ge
0.109 0.391 0.000 Ge
0.891 0.609 0.000 Ge
```

No. 20
Density functional theory data (GGA-PBE) for a relaxed CePuGeAu crystal.

DOS at the Fermi energy: 13.2 states/eV per cell
E_form: -0.54 eV/atom
energy above the lowest structure with this stoichiometry: 0 meV/atom
electronic total energy: -7.576 eV/atom
mass density: 10.82 g/cm³
crystal system: orthorhombic
V: 100.3 Å³ per cell

```
CePuGeAu
1.0
4.142 0.000 0.000
0.000 4.341 0.000
-2.071 0.000 5.581
Ge Ce Pu Au
1 1 1 1
Direct
0.583 0.500 0.166 Ge
0.141 0.000 0.282 Ce
0.856 0.500 0.711 Pu
0.421 0.000 0.841 Au
```